[1]
# HRhSe2, optimized geometry, DFT GGA-PBE
# Calculated total energy   -4.550 eV/atom
# Offset from the most stable computed form   0.1455 eV per atom
# ρ   5.57 g/cm³
# N(E_F)   0.00 states/eV per cell
data_HRhSe2
_chemical_formula_sum 'H4 Rh4 Se8'
_symmetry_space_group_name_H-M 'P n m a'
_symmetry_Int_Tables_number 62
_symmetry_space_group_name_Hall '-P 2ac 2n'
_cell_length_a 7.499
_cell_length_b 3.641
_cell_length_c 11.437
_cell_angle_alpha 90.00
_cell_angle_beta 90.00
_cell_angle_gamma 90.00
loop_
_atom_site_label
_atom_site_type_symbol
_atom_site_fract_x
_atom_site_fract_y
_atom_site_fract_z
H1 H 0.065 0.250 0.141
Rh1 Rh 0.075 0.750 0.370
Se1 Se 0.061 0.750 0.757
Se2 Se 0.182 0.250 0.497



[2]
# HRhSe2, optimized geometry, DFT GGA-PBE
# Calculated total energy   -4.140 eV/atom
# Offset from the most stable computed form   0.5552 eV per atom
# ρ   7.67 g/cm³
# N(E_F)   0.00 states/eV per cell
data_HRhSe2
_chemical_formula_sum 'H4 Rh4 Se8'
_symmetry_space_group_name_H-M 'F m -3 m'
_symmetry_Int_Tables_number 225
_symmetry_space_group_name_Hall '-F 4 2 3'
_cell_length_a 6.098
_cell_length_b 6.098
_cell_length_c 6.098
_cell_angle_alpha 90.00
_cell_angle_beta 90.00
_cell_angle_gamma 90.00
loop_
_atom_site_label
_atom_site_type_symbol
_atom_site_fract_x
_atom_site_fract_y
_atom_site_fract_z
H1 H 0.000 0.000 0.000
Rh1 Rh 0.000 0.000 0.500
Se1 Se 0.250 0.250 0.250



[3]
# HRhSe2, optimized geometry, DFT GGA-PBE
# Calculated total energy   -4.560 eV/atom
# Offset from the most stable computed form   0.1352 eV per atom
# ρ   5.79 g/cm³
# N(E_F)   1.24 states/eV per cell
data_HRhSe2
_chemical_formula_sum 'H4 Rh4 Se8'
_symmetry_space_group_name_H-M 'C 1 c 1'
_symmetry_Int_Tables_number 9
_symmetry_space_group_name_Hall 'C -2yc'
_cell_length_a 7.091
_cell_length_b 6.882
_cell_length_c 7.063
_cell_angle_alpha 90.00
_cell_angle_beta 119.30
_cell_angle_gamma 90.00
loop_
_atom_site_label
_atom_site_type_symbol
_atom_site_fract_x
_atom_site_fract_y
_atom_site_fract_z
H1 H 0.000 0.199 0.000
Rh1 Rh 0.049 0.370 0.435
Se1 Se 0.233 0.363 0.833
Se2 Se 0.364 0.146 0.524



[4]
# HRhSe2, optimized geometry, DFT GGA-PBE
# Calculated total energy   -4.661 eV/atom
# Offset from the most stable computed form   0.0346 eV per atom
# ρ   5.63 g/cm³
# N(E_F)   0.00 states/eV per cell
data_HRhSe2
_chemical_formula_sum 'H2 Rh2 Se4'
_symmetry_space_group_name_H-M 'C 1 m 1'
_symmetry_Int_Tables_number 8
_symmetry_space_group_name_Hall 'C -2y'
_cell_length_a 6.611
_cell_length_b 3.817
_cell_length_c 6.500
_cell_angle_alpha 90.00
_cell_angle_beta 109.71
_cell_angle_gamma 90.00
loop_
_atom_site_label
_atom_site_type_symbol
_atom_site_fract_x
_atom_site_fract_y
_atom_site_fract_z
H1 H 0.000 0.000 0.000
Rh1 Rh 0.019 0.500 0.556
Se1 Se 0.117 0.000 0.349
Se2 Se 0.414 0.500 0.742



[5]
# HRhSe2, optimized geometry, DFT GGA-PBE
# Calculated total energy   -4.352 eV/atom
# Offset from the most stable computed form   0.3431 eV per atom
# ρ   7.11 g/cm³
# N(E_F)   2.61 states/eV per cell
data_HRhSe2
_chemical_formula_sum 'H2 Rh2 Se4'
_symmetry_space_group_name_H-M 'C 1 2/m 1'
_symmetry_Int_Tables_number 12
_symmetry_space_group_name_Hall '-C 2y'
_cell_length_a 6.919
_cell_length_b 3.028
_cell_length_c 6.389
_cell_angle_alpha 90.00
_cell_angle_beta 113.96
_cell_angle_gamma 90.00
loop_
_atom_site_label
_atom_site_type_symbol
_atom_site_fract_x
_atom_site_fract_y
_atom_site_fract_z
H1 H 0.000 0.000 0.000
Rh1 Rh 0.000 0.500 0.500
Se1 Se 0.197 0.500 0.247



[6]
# HRhSe2, optimized geometry, DFT GGA-PBE
# Calculated total energy   -4.232 eV/atom
# Offset from the most stable computed form   0.4638 eV per atom
# ρ   6.31 g/cm³
# N(E_F)   7.53 states/eV per cell
data_HRhSe2
_chemical_formula_sum 'H4 Rh4 Se8'
_symmetry_space_group_name_H-M 'I -4 2 d'
_symmetry_Int_Tables_number 122
_symmetry_space_group_name_Hall 'I -4 2bw'
_cell_length_a 5.393
_cell_length_b 5.393
_cell_length_c 9.482
_cell_angle_alpha 90.00
_cell_angle_beta 90.00
_cell_angle_gamma 90.00
loop_
_atom_site_label
_atom_site_type_symbol
_atom_site_fract_x
_atom_site_fract_y
_atom_site_fract_z
H1 H 0.000 0.000 0.000
Rh1 Rh 0.000 0.000 0.500
Se1 Se 0.210 0.250 0.125



[7]
# HRhSe2, optimized geometry, DFT GGA-PBE
# Calculated total energy   -4.079 eV/atom
# Offset from the most stable computed form   0.6161 eV per atom
# ρ   7.71 g/cm³
# N(E_F)   11.05 states/eV per cell
data_HRhSe2
_chemical_formula_sum 'H4 Rh4 Se8'
_symmetry_space_group_name_H-M 'I 4/m c m'
_symmetry_Int_Tables_number 140
_symmetry_space_group_name_Hall '-I 4 2c'
_cell_length_a 6.324
_cell_length_b 6.324
_cell_length_c 5.643
_cell_angle_alpha 90.00
_cell_angle_beta 90.00
_cell_angle_gamma 90.00
loop_
_atom_site_label
_atom_site_type_symbol
_atom_site_fract_x
_atom_site_fract_y
_atom_site_fract_z
H1 H 0.000 0.500 0.250
Rh1 Rh 0.000 0.000 0.250
Se1 Se 0.179 0.321 0.000



[8]
# HRhSe2, optimized geometry, DFT GGA-PBE
# Calculated total energy   -4.696 eV/atom
# Offset from the most stable computed form   0.0000 eV per atom
# ρ   4.78 g/cm³
# N(E_F)   0.00 states/eV per cell
data_HRhSe2
_chemical_formula_sum 'H2 Rh2 Se4'
_symmetry_space_group_name_H-M 'P 1'
_symmetry_Int_Tables_number 1
_symmetry_space_group_name_Hall 'P 1'
_cell_length_a 3.719
_cell_length_b 5.939
_cell_length_c 8.789
_cell_angle_alpha 71.40
_cell_angle_beta 82.56
_cell_angle_gamma 83.26
loop_
_atom_site_label
_atom_site_type_symbol
_atom_site_fract_x
_atom_site_fract_y
_atom_site_fract_z
H1 H 0.000 0.000 0.000
H2 H 0.100 0.028 0.060
Rh1 Rh 0.244 0.297 0.525
Rh2 Rh 0.851 0.731 0.536
Se1 Se 0.327 0.520 0.710
Se2 Se 0.350 0.993 0.375
Se3 Se 0.746 0.035 0.686
Se4 Se 0.769 0.509 0.351



no.,total magnetization (μB per formula unit)
1,0.00
2,0.00
3,0.00
4,0.00
5,0.00
6,0.00
7,0.00
8,0.00